(1)
PrPtO: relaxed, GGA-PBE.

extended XYZ file:
```
12
Lattice="0.000 5.555 6.029 3.487 0.000 6.029 3.487 5.555 0.000" Properties=species:S:1:pos:R:3 pbc="T T T"
Pr 2.615 0.414 4.522
Pr 4.359 3.191 7.537
Pr 2.615 7.918 4.522
Pr 4.359 10.695 7.537
Pt 3.487 2.777 3.015
Pt 1.744 5.555 3.015
Pt 1.744 2.777 6.029
Pt 3.487 5.555 6.029
O 2.615 4.166 0.052
O 4.359 6.943 3.066
O 2.615 4.166 8.992
O 4.359 6.943 12.007
```



(2)
HoReSi2Ir: relaxed, GGA-PBE.

extended XYZ file:
```
10
Lattice="4.194 0.000 0.000 0.000 4.194 0.000 0.000 0.000 9.652" Properties=species:S:1:pos:R:3 pbc="T T T"
Ho 0.000 0.000 0.000
Ho 2.097 2.097 4.826
Re 0.000 2.097 2.413
Re 2.097 0.000 7.239
Si 0.000 0.000 3.606
Si 0.000 0.000 6.046
Si 2.097 2.097 1.220
Si 2.097 2.097 8.432
Ir 0.000 2.097 7.239
Ir 2.097 0.000 2.413
```



Number 1: ΔE_f (raw) -4.66 eV/f.u., E -6.814 eV per atom. Number 2: ΔE_f (raw) -3.87 eV/f.u., E -8.120 eV per atom.